ZrTiHg2Mo | GGA-PBE | optimized geometry

Results
- ΔE_f: 1.33 eV/atom
- Size of the total moment: 4.978 Bohr magnetons per cell
- Raw total energy: -21.3 eV per cell

a b c (Å): 5.2130 5.2130 4.7151
angles (deg): 90.00 90.00 90.00
Atoms (fractional coordinates):
Zr (0.0000, 0.0000, 0.0000)
Ti (0.0000, 0.0000, 0.5000)
Hg (0.0000, 0.5000, 0.5000)
Hg (0.5000, 0.0000, 0.5000)
Mo (0.5000, 0.5000, 0.0000)